P.
First-principles (PBE-GGA) data for a relaxed CuSb2RuI crystal, as listed in the Alexandria database.

Values from the calculation:
- magnetization (Bohr magnetons per cell) = 1.772
- SG = P4/mmm

Cell: 4.9743 4.9743 5.3667 Å, 90.00 90.00 90.00°
With the nearest neighbours (Å) after each atom.
Atoms (fractional coordinates):
Cu 0.0000 0.0000 0.0000  4 Sb 2.49, 2 I 2.68
Sb 0.0000 0.5000 0.0000  2 Cu 2.49
Sb 0.5000 0.0000 0.0000  2 Cu 2.49
Ru 0.5000 0.5000 0.5000  4 I 3.52, 8 Sb 3.66
I 0.0000 0.0000 0.5000  2 Cu 2.68

Q.
First-principles (PBE-GGA) data for a relaxed CuSb2RuI crystal, as listed in the Alexandria database.

Values from the calculation:
- magnetization (Bohr magnetons per cell) = 0.000
- SG = P4/mmm

Cell: 5.0106 5.0106 5.7619 Å, 90.00 90.00 90.00°
With the nearest neighbours (Å) after each atom.
Atoms (fractional coordinates):
Cu 0.0000 0.0000 0.0000  4 I 3.54, 8 Sb 3.82
Sb 0.0000 0.5000 0.5000  2 Ru 2.51
Sb 0.5000 0.0000 0.5000  2 Ru 2.51
Ru 0.5000 0.5000 0.5000  4 Sb 2.51
I 0.5000 0.5000 0.0000  2 Ru 2.88

Stability ranking, top and bottom: Q is the most stable and P is the least stable.

P.
First-principles (PBE-GGA) data for a relaxed CuSbRuI2 crystal, as listed in the Alexandria database.

Values from the calculation:
- magnetization (Bohr magnetons per cell) = 2.646
- SG = P4/mmm

Cell: 5.3332 5.3332 5.0644 Å, 90.00 90.00 90.00°
With the nearest neighbours (Å) after each atom.
Atoms (fractional coordinates):
Cu 0.0000 0.0000 0.0000  2 Sb 2.53, 4 I 2.67
Sb 0.0000 0.0000 0.5000  2 Cu 2.53
Ru 0.5000 0.5000 0.5000  8 I 3.68, 4 Sb 3.77
I 0.0000 0.5000 0.0000  2 Cu 2.67
I 0.5000 0.0000 0.0000  2 Cu 2.67

Q.
First-principles (PBE-GGA) data for a relaxed CuSbRuI2 crystal, as listed in the Alexandria database.

Values from the calculation:
- magnetization (Bohr magnetons per cell) = 0.000
- SG = P4/mmm

Cell: 5.5350 5.5350 4.9672 Å, 90.00 90.00 90.00°
With the nearest neighbours (Å) after each atom.
Atoms (fractional coordinates):
Cu 0.0000 0.0000 0.0000  8 I 3.72, 4 Sb 3.91
Sb 0.5000 0.5000 0.0000  2 Ru 2.48
Ru 0.5000 0.5000 0.5000  2 Sb 2.48, 4 I 2.77
I 0.0000 0.5000 0.5000  2 Ru 2.77
I 0.5000 0.0000 0.5000  2 Ru 2.77

Stability ranking, top and bottom: Q is the most stable and P is the least stable.